AcPr14Er | Alexandria via LeMat-Bulk | PBE | optimized geometry; D(E_F) = 24.1 states/eV/f.u.; formation energy = 13.4 meV/atom; SG = No. 123; energy = -75.370 eV per cell
1.0
7.425 0.000 0.000
0.000 7.425 0.000
0.000 0.000 10.531
Ac Pr Er
1 14 1
direct
0.000 0.000 0.000
0.000 0.000 0.500
0.000 0.500 0.000
0.000 0.500 0.500
0.254 0.254 0.250
0.254 0.254 0.750
0.254 0.746 0.250
0.254 0.746 0.750
0.500 0.000 0.000
0.500 0.000 0.500
0.500 0.500 0.500
0.746 0.254 0.250
0.746 0.254 0.750
0.746 0.746 0.250
0.746 0.746 0.750
0.500 0.500 0.000

Ce2Co3P4Pt | Alexandria via LeMat-Bulk | PBE | optimized geometry; D(E_F) = 3.7 states/eV/f.u.; formation energy = -1048.9 meV/atom; SG = No. 115; energy = -71.354 eV per cell
1.0
4.031 0.000 0.000
0.000 4.031 0.000
0.000 0.000 9.256
Ce Co P Pt
2 3 4 1
direct
0.000 0.500 0.239
0.500 0.000 0.761
0.000 0.500 0.892
0.500 0.000 0.108
0.500 0.500 0.500
0.000 0.000 0.000
0.000 0.500 0.647
0.500 0.000 0.353
0.500 0.500 0.000
0.000 0.000 0.500

Er2ZnIn2 | Alexandria via LeMat-Bulk | PBE | optimized geometry; D(E_F) = 3.6 states/eV/f.u.; formation energy = -402.9 meV/atom; SG = No. 38; excess energy over the best structure of this formula in the dataset = 0 meV per atom; energy = -17.891 eV per cell
1.0
3.452 0.000 0.000
0.000 2.302 7.477
0.000 -2.302 7.477
Er Zn In
2 1 2
direct
0.000 0.000 0.000
0.000 0.232 0.232
0.500 0.418 0.418
0.500 0.612 0.612
0.500 0.820 0.820